# LiAgO4, optimized geometry, DFT PBE
data_LiAgO4
_chemical_formula_sum 'Li2 Ag2 O8'
_cell_length_a 4.281
_cell_length_b 5.915
_cell_length_c 5.251
_cell_angle_alpha 90.00
_cell_angle_beta 93.00
_cell_angle_gamma 90.00
_space_group_name_H-M_alt 'P 1'
_space_group_IT_number 1
loop_
_space_group_symop_operation_xyz
'x,y,z'
loop_
_atom_site_label
_atom_site_type_symbol
_atom_site_fract_x
_atom_site_fract_y
_atom_site_fract_z
_atom_site_occupancy
Li1 Li 0.000 0.176 0.250 1
Li2 Li 0.000 0.824 0.750 1
Ag1 Ag 0.500 0.368 0.750 1
Ag2 Ag 0.500 0.632 0.250 1
O1 O 0.120 0.140 0.840 1
O2 O 0.120 0.860 0.340 1
O3 O 0.262 0.378 0.418 1
O4 O 0.262 0.622 0.918 1
O5 O 0.738 0.378 0.082 1
O6 O 0.738 0.622 0.582 1
O7 O 0.880 0.140 0.660 1
O8 O 0.880 0.860 0.160 1
# crystal system: monoclinic

---

# Li7AgO6, optimized geometry, DFT PBE
data_Li7AgO6
_chemical_formula_sum 'Li7 Ag1 O6'
_cell_length_a 5.740
_cell_length_b 5.740
_cell_length_c 5.740
_cell_angle_alpha 57.78
_cell_angle_beta 57.78
_cell_angle_gamma 57.78
_space_group_name_H-M_alt 'P 1'
_space_group_IT_number 1
loop_
_space_group_symop_operation_xyz
'x,y,z'
loop_
_atom_site_label
_atom_site_type_symbol
_atom_site_fract_x
_atom_site_fract_y
_atom_site_fract_z
_atom_site_occupancy
Li1 Li 0.000 0.000 0.000 1
Li2 Li 0.070 0.824 0.467 1
Li3 Li 0.289 0.572 0.842 1
Li4 Li 0.467 0.070 0.824 1
Li5 Li 0.572 0.842 0.289 1
Li6 Li 0.824 0.467 0.070 1
Li7 Li 0.842 0.289 0.572 1
Ag1 Ag 0.344 0.344 0.344 1
O1 O 0.138 0.419 0.728 1
O2 O 0.220 0.978 0.588 1
O3 O 0.419 0.728 0.138 1
O4 O 0.588 0.220 0.978 1
O5 O 0.728 0.138 0.419 1
O6 O 0.978 0.588 0.220 1
# crystal system: trigonal

---

# Li3AgO4, optimized geometry, DFT PBE
data_Li3AgO4
_chemical_formula_sum 'Li3 Ag1 O4'
_cell_length_a 5.023
_cell_length_b 5.023
_cell_length_c 5.075
_cell_angle_alpha 100.23
_cell_angle_beta 100.23
_cell_angle_gamma 35.20
_space_group_name_H-M_alt 'P 1'
_space_group_IT_number 1
loop_
_space_group_symop_operation_xyz
'x,y,z'
loop_
_atom_site_label
_atom_site_type_symbol
_atom_site_fract_x
_atom_site_fract_y
_atom_site_fract_z
_atom_site_occupancy
Li1 Li 0.000 0.000 0.000 1
Li2 Li 0.246 0.246 0.776 1
Li3 Li 0.754 0.754 0.224 1
Ag1 Ag 0.500 0.500 0.500 1
O1 O 0.122 0.122 0.384 1
O2 O 0.374 0.374 0.135 1
O3 O 0.626 0.626 0.865 1
O4 O 0.878 0.878 0.616 1
# crystal system: monoclinic

---

# LiAgPO, optimized geometry, DFT PBE
data_LiAgPO
_chemical_formula_sum 'Li2 Ag2 P2 O2'
_cell_length_a 3.983
_cell_length_b 3.983
_cell_length_c 6.578
_cell_angle_alpha 90.00
_cell_angle_beta 90.00
_cell_angle_gamma 90.00
_space_group_name_H-M_alt 'P 1'
_space_group_IT_number 1
loop_
_space_group_symop_operation_xyz
'x,y,z'
loop_
_atom_site_label
_atom_site_type_symbol
_atom_site_fract_x
_atom_site_fract_y
_atom_site_fract_z
_atom_site_occupancy
Li1 Li 0.250 0.250 0.108 1
Li2 Li 0.750 0.750 0.892 1
Ag1 Ag 0.250 0.750 0.500 1
Ag2 Ag 0.750 0.250 0.500 1
P1 P 0.250 0.250 0.746 1
P2 P 0.750 0.750 0.254 1
O1 O 0.250 0.750 0.000 1
O2 O 0.750 0.250 0.000 1
# crystal system: tetragonal

---

# LiAgPO, optimized geometry, DFT PBE
data_LiAgPO
_chemical_formula_sum 'Li2 Ag2 P2 O2'
_cell_length_a 4.075
_cell_length_b 7.839
_cell_length_c 3.727
_cell_angle_alpha 90.00
_cell_angle_beta 90.00
_cell_angle_gamma 90.00
_space_group_name_H-M_alt 'P 1'
_space_group_IT_number 1
loop_
_space_group_symop_operation_xyz
'x,y,z'
loop_
_atom_site_label
_atom_site_type_symbol
_atom_site_fract_x
_atom_site_fract_y
_atom_site_fract_z
_atom_site_occupancy
Li1 Li 0.000 0.109 0.000 1
Li2 Li 0.000 0.891 0.500 1
Ag1 Ag 0.500 0.177 0.498 1
Ag2 Ag 0.500 0.823 0.998 1
P1 P 0.500 0.423 0.998 1
P2 P 0.500 0.577 0.498 1
O1 O 0.000 0.139 0.499 1
O2 O 0.000 0.861 0.999 1
# crystal system: orthorhombic

---

# LiAgPO, optimized geometry, DFT PBE
data_LiAgPO
_chemical_formula_sum 'Li2 Ag2 P2 O2'
_cell_length_a 4.482
_cell_length_b 3.598
_cell_length_c 6.767
_cell_angle_alpha 90.00
_cell_angle_beta 90.00
_cell_angle_gamma 90.00
_space_group_name_H-M_alt 'P 1'
_space_group_IT_number 1
loop_
_space_group_symop_operation_xyz
'x,y,z'
loop_
_atom_site_label
_atom_site_type_symbol
_atom_site_fract_x
_atom_site_fract_y
_atom_site_fract_z
_atom_site_occupancy
Li1 Li 0.250 0.000 0.179 1
Li2 Li 0.750 0.000 0.821 1
Ag1 Ag 0.250 0.500 0.799 1
Ag2 Ag 0.750 0.500 0.201 1
P1 P 0.250 0.000 0.551 1
P2 P 0.750 0.000 0.449 1
O1 O 0.250 0.500 0.123 1
O2 O 0.750 0.500 0.877 1
# crystal system: orthorhombic

---

# LiAgPO, optimized geometry, DFT PBE
data_LiAgPO
_chemical_formula_sum 'Li2 Ag2 P2 O2'
_cell_length_a 4.447
_cell_length_b 4.447
_cell_length_c 5.172
_cell_angle_alpha 90.00
_cell_angle_beta 90.00
_cell_angle_gamma 90.00
_space_group_name_H-M_alt 'P 1'
_space_group_IT_number 1
loop_
_space_group_symop_operation_xyz
'x,y,z'
loop_
_atom_site_label
_atom_site_type_symbol
_atom_site_fract_x
_atom_site_fract_y
_atom_site_fract_z
_atom_site_occupancy
Li1 Li 0.250 0.750 0.000 1
Li2 Li 0.750 0.250 0.000 1
Ag1 Ag 0.250 0.250 0.254 1
Ag2 Ag 0.750 0.750 0.746 1
P1 P 0.250 0.250 0.737 1
P2 P 0.750 0.750 0.263 1
O1 O 0.250 0.750 0.500 1
O2 O 0.750 0.250 0.500 1
# crystal system: tetragonal

---

# LiAgPO, optimized geometry, DFT PBE
data_LiAgPO
_chemical_formula_sum 'Li2 Ag2 P2 O2'
_cell_length_a 3.734
_cell_length_b 3.734
_cell_length_c 8.275
_cell_angle_alpha 90.00
_cell_angle_beta 90.00
_cell_angle_gamma 90.00
_space_group_name_H-M_alt 'P 1'
_space_group_IT_number 1
loop_
_space_group_symop_operation_xyz
'x,y,z'
loop_
_atom_site_label
_atom_site_type_symbol
_atom_site_fract_x
_atom_site_fract_y
_atom_site_fract_z
_atom_site_occupancy
Li1 Li 0.250 0.750 0.000 1
Li2 Li 0.750 0.250 0.000 1
Ag1 Ag 0.250 0.250 0.227 1
Ag2 Ag 0.750 0.750 0.773 1
P1 P 0.250 0.250 0.618 1
P2 P 0.750 0.750 0.382 1
O1 O 0.250 0.750 0.500 1
O2 O 0.750 0.250 0.500 1
# crystal system: tetragonal

---

# LiAgPbO3, optimized geometry, DFT PBE
data_LiAgPbO3
_chemical_formula_sum 'Li4 Ag4 Pb4 O12'
_cell_length_a 10.865
_cell_length_b 3.281
_cell_length_c 9.192
_cell_angle_alpha 90.00
_cell_angle_beta 90.00
_cell_angle_gamma 90.00
_space_group_name_H-M_alt 'P 1'
_space_group_IT_number 1
loop_
_space_group_symop_operation_xyz
'x,y,z'
loop_
_atom_site_label
_atom_site_type_symbol
_atom_site_fract_x
_atom_site_fract_y
_atom_site_fract_z
_atom_site_occupancy
Li1 Li 0.223 0.250 0.163 1
Li2 Li 0.277 0.750 0.663 1
Li3 Li 0.723 0.250 0.337 1
Li4 Li 0.777 0.750 0.837 1
Ag1 Ag 0.114 0.250 0.477 1
Ag2 Ag 0.386 0.750 0.977 1
Ag3 Ag 0.614 0.250 0.023 1
Ag4 Ag 0.886 0.750 0.523 1
Pb1 Pb 0.042 0.250 0.841 1
Pb2 Pb 0.458 0.750 0.341 1
Pb3 Pb 0.542 0.250 0.659 1
Pb4 Pb 0.958 0.750 0.159 1
O1 O 0.065 0.250 0.256 1
O2 O 0.112 0.750 0.986 1
O3 O 0.187 0.250 0.689 1
O4 O 0.313 0.750 0.189 1
O5 O 0.388 0.250 0.486 1
O6 O 0.435 0.750 0.756 1
O7 O 0.565 0.250 0.244 1
O8 O 0.612 0.750 0.514 1
O9 O 0.687 0.250 0.811 1
O10 O 0.813 0.750 0.311 1
O11 O 0.888 0.250 0.014 1
O12 O 0.935 0.750 0.744 1
# crystal system: orthorhombic

---

| no. | electronic total energy (hartree per atom) |
| --- | --- |
| 1 | -0.156 |
| 2 | -0.169 |
| 3 | -0.166 |
| 4 | -0.146 |
| 5 | -0.155 |
| 6 | -0.153 |
| 7 | -0.133 |
| 8 | -0.135 |
| 9 | -0.178 |